(1)
A plane-wave DFT calculation with PBE was carried out for a relaxed Pr6CuRu2Br3 crystal.

CIF file:
```
data_Pr6CuRu2Br3
_space_group_name_H-M_alt 'C 1 2/m 1'
_space_group_IT_number 12
_cell_length_a 7.1795
_cell_length_b 12.4313
_cell_length_c 8.2850
_cell_angle_alpha 90.00
_cell_angle_beta 106.77
_cell_angle_gamma 90.00
loop_
_space_group_symop_operation_xyz
'x,y,z'
'-x,-y,-z'
'-x,y,-z'
'x,-y,z'
'x+1/2,y+1/2,z'
'-x+1/2,-y+1/2,-z'
'-x+1/2,y+1/2,-z'
'x+1/2,-y+1/2,z'
loop_
_atom_site_label
_atom_site_fract_x
_atom_site_fract_y
_atom_site_fract_z
_atom_site_occupancy
Pr1 0.2190 0.0000 0.1980 1
Pr2 0.2395 0.3266 0.1980 1
Cu1 0.0000 0.5000 0.0000 1
Ru1 0.0000 0.1665 0.0000 1
Br1 0.0000 0.0000 0.5000 1
Br2 0.0000 0.3319 0.5000 1
```

Properties
Crystal system: monoclinic
E: -0.201 hartree per atom


(2)
A plane-wave DFT calculation with PBE was carried out for a relaxed CaPr2Hg3 crystal.

CIF file:
```
data_CaPr2Hg3
_space_group_name_H-M_alt 'P 4/m m m'
_space_group_IT_number 123
_space_group_name_Hall '-P 4 2'
_cell_length_a 3.8209
_cell_length_b 3.8209
_cell_length_c 11.6807
_cell_angle_alpha 90.00
_cell_angle_beta 90.00
_cell_angle_gamma 90.00
loop_
_atom_site_label
_atom_site_fract_x
_atom_site_fract_y
_atom_site_fract_z
_atom_site_occupancy
Ca1 0.0000 0.0000 0.0000 1
Pr1 0.0000 0.0000 0.3330 1
Hg1 0.5000 0.5000 0.1657 1
Hg2 0.5000 0.5000 0.5000 1
```

Properties
E_form: -505.1 meV per atom
Crystal system: tetragonal


(3)
A plane-wave DFT calculation with PBE was carried out for a relaxed MnBr2N crystal.

CIF file:
```
data_MnBr2N
_space_group_name_H-M_alt 'P 1'
_space_group_IT_number 1
_cell_length_a 3.8957
_cell_length_b 6.7472
_cell_length_c 9.8165
_cell_angle_alpha 105.98
_cell_angle_beta 90.02
_cell_angle_gamma 90.00
loop_
_space_group_symop_operation_xyz
'x,y,z'
loop_
_atom_site_label
_atom_site_fract_x
_atom_site_fract_y
_atom_site_fract_z
_atom_site_occupancy
Mn1 0.0000 0.0000 0.0000 1
Mn2 0.5001 0.5001 0.0001 1
Br1 0.9996 0.7305 0.1598 1
Br2 0.4993 0.7695 0.8404 1
Br3 0.4995 0.2304 0.1597 1
Br4 0.9993 0.2696 0.8404 1
N1 0.4929 0.9985 0.4993 1
N2 0.9927 0.4996 0.5014 1
```

Properties
Crystal system: triclinic
E: -0.165 hartree per atom


(4)
A plane-wave DFT calculation with PBE was carried out for a relaxed RbZnCd2Au crystal.

CIF file:
```
data_RbZnCd2Au
_space_group_name_H-M_alt 'P 4/m m m'
_space_group_IT_number 123
_space_group_name_Hall '-P 4 2'
_cell_length_a 5.2814
_cell_length_b 5.2814
_cell_length_c 5.1805
_cell_angle_alpha 90.00
_cell_angle_beta 90.00
_cell_angle_gamma 90.00
loop_
_atom_site_label
_atom_site_fract_x
_atom_site_fract_y
_atom_site_fract_z
_atom_site_occupancy
Rb1 0.0000 0.0000 0.0000 1
Zn1 0.5000 0.5000 0.5000 1
Cd1 0.0000 0.5000 0.5000 1
Au1 0.5000 0.5000 0.0000 1
```

Properties
E_form: -10.0 meV per atom
Crystal system: tetragonal


(5)
A plane-wave DFT calculation with PBE was carried out for a relaxed KSrLi2 crystal.

CIF file:
```
data_KSrLi2
_space_group_name_H-M_alt 'I -4 2 d'
_space_group_IT_number 122
_space_group_name_Hall 'I -4 2bw'
_cell_length_a 9.3659
_cell_length_b 9.3659
_cell_length_c 7.5733
_cell_angle_alpha 90.00
_cell_angle_beta 90.00
_cell_angle_gamma 90.00
loop_
_atom_site_label
_atom_site_fract_x
_atom_site_fract_y
_atom_site_fract_z
_atom_site_occupancy
K1 0.0000 0.0000 0.0000 1
Sr1 0.0000 0.0000 0.5000 1
Li1 0.2404 0.2500 0.1250 1
```

Properties
E_form: 254.9 meV per atom
Crystal system: tetragonal


(6)
A plane-wave DFT calculation with PBE was carried out for a relaxed LiB4C4 crystal.

CIF file:
```
data_LiB4C4
_space_group_name_H-M_alt 'C 1 2/c 1'
_space_group_IT_number 15
_cell_length_a 11.2336
_cell_length_b 5.3344
_cell_length_c 4.7995
_cell_angle_alpha 90.00
_cell_angle_beta 92.83
_cell_angle_gamma 90.00
loop_
_space_group_symop_operation_xyz
'x,y,z'
'-x,-y,-z'
'-x,y,-z+1/2'
'x,-y,z+1/2'
'x+1/2,y+1/2,z'
'-x+1/2,-y+1/2,-z'
'-x+1/2,y+1/2,-z+1/2'
'x+1/2,-y+1/2,z+1/2'
loop_
_atom_site_label
_atom_site_fract_x
_atom_site_fract_y
_atom_site_fract_z
_atom_site_occupancy
Li1 0.0000 0.1700 0.2500 1
B1 0.1495 0.1192 0.6153 1
B2 0.1920 0.3738 0.1058 1
C1 0.1405 0.1359 0.9390 1
C2 0.1870 0.3575 0.4446 1
```

Properties
E_form: 198.9 meV per atom
Crystal system: monoclinic


(7)
A plane-wave DFT calculation with PBE was carried out for a relaxed SrYMg2 crystal.

CIF file:
```
data_SrYMg2
_space_group_name_H-M_alt 'P 4 m m'
_space_group_IT_number 99
_cell_length_a 3.6756
_cell_length_b 3.6756
_cell_length_c 9.5087
_cell_angle_alpha 90.00
_cell_angle_beta 90.00
_cell_angle_gamma 90.00
loop_
_space_group_symop_operation_xyz
'x,y,z'
'-y,x,z'
'-x,-y,z'
'y,-x,z'
'-x,y,z'
'y,x,z'
'x,-y,z'
'-y,-x,z'
loop_
_atom_site_label
_atom_site_fract_x
_atom_site_fract_y
_atom_site_fract_z
_atom_site_occupancy
Sr1 0.0000 0.0000 0.0000 1
Y1 0.5000 0.5000 0.3212 1
Mg1 0.0000 0.0000 0.5399 1
Mg2 0.5000 0.5000 0.7229 1
```

Properties
E_form: 49.2 meV per atom
Crystal system: tetragonal


(8)
A plane-wave DFT calculation with PBE was carried out for a relaxed Ac3Cu4Au4 crystal.

CIF file:
```
data_Ac3Cu4Au4
_space_group_name_H-M_alt 'P -1'
_space_group_IT_number 2
_cell_length_a 4.1351
_cell_length_b 4.6208
_cell_length_c 13.6707
_cell_angle_alpha 97.31
_cell_angle_beta 98.62
_cell_angle_gamma 90.09
loop_
_space_group_symop_operation_xyz
'x,y,z'
'-x,-y,-z'
loop_
_atom_site_label
_atom_site_fract_x
_atom_site_fract_y
_atom_site_fract_z
_atom_site_occupancy
Ac1 0.0000 0.0000 0.0000 1
Ac2 0.1502 0.6257 0.3005 1
Cu1 0.2533 0.3196 0.5067 1
Cu2 0.4009 0.9203 0.8013 1
Au1 0.3026 0.8510 0.6060 1
Au2 0.4453 0.4553 0.8929 1
```

Properties
E_form: -499.2 meV per atom
Crystal system: triclinic